Density functional theory data (PBE+U) for a geometry-optimized VAgO2F structure.

Structure (POSCAR):
```
VAgO2F
1.0
-3.6415 0.4295 -1.8280
0.6203 -3.4895 -2.0556
-1.7772 -2.1095 3.0447
Ag F O V
1 1 2 1
direct
0.0000 0.0000 0.0000 Ag
0.0000 0.0000 0.5000 F
0.0000 0.5000 0.0000 O
0.5000 0.0000 0.0000 O
0.5000 0.5000 0.5000 V
```

## Properties
Electronic total energy ... -4.62 eV per atom
Fermi-level density of states ... 2.630 states/eV/cell
M_tot ... 2.942 μB per cell